[1]
Material: LiHg2As
Method: DFT, GGA-PBE
State: relaxed

abc: 3.2532 3.2532 27.6232
angles: 90.00 90.00 120.00
Space group R-3m (No. 166, hexagonal axes)
Asymmetric unit:
Li 0.0000 0.0000 0.0000 x3
Hg 0.0000 0.0000 0.2569 x6
As 0.0000 0.0000 0.5000 x3

## Properties
Formation enthalpy at 0 K, meV per atom: 6
Density, g cm⁻³: 9.505

=====

[2]
Material: Li6Hg5As
Method: DFT, GGA-PBE
State: relaxed

abc: 14.748 6.904 4.560
angles: 90.00 107.91 90.00
Space group C2/m (No. 12)
Asymmetric unit:
Li 0.000 0.215 0.000 x4
Li 0.156 0.234 0.656 x8
Hg 0.000 0.500 0.500 x2
Hg 0.160 0.500 0.159 x4
Hg 0.183 0.000 0.182 x4
As 0.000 0.000 0.500 x2

## Properties
Formation enthalpy at 0 K, meV per atom: -402
Density, g cm⁻³: 8.416

=====

[3]
Material: LiHg3As
Method: DFT, GGA-PBE
State: relaxed

abc: 5.399 5.399 5.399
angles: 90.00 90.00 90.00
Space group Pm-3m (No. 221)
Asymmetric unit:
Li 0.000 0.000 0.000 x1
Hg 0.000 0.500 0.500 x3
As 0.500 0.500 0.500 x1

## Properties
Offset from the most stable computed form, meV/atom: 0
Formation enthalpy at 0 K, meV per atom: 220
Density, g cm⁻³: 7.213

=====

[4]
Material: LiHg2As
Method: DFT, GGA-PBE
State: relaxed

abc: 4.338 4.338 8.754
angles: 90.00 90.00 90.00
Space group I4/mmm (No. 139)
Asymmetric unit:
Li 0.000 0.000 0.000 x2
Hg 0.000 0.500 0.250 x4
As 0.000 0.000 0.500 x2

## Properties
Formation enthalpy at 0 K, meV per atom: -86
Density, g cm⁻³: 9.738

=====

[5]
Material: LiHg2As
Method: DFT, GGA-PBE
State: relaxed

abc: 6.972 6.972 6.972
angles: 90.00 90.00 90.00
Space group F-43m (No. 216)
Asymmetric unit:
Li 0.000 0.000 0.000 x4
Hg 0.000 0.000 0.500 x4
Hg 0.250 0.250 0.750 x4
As 0.250 0.250 0.250 x4

## Properties
Formation enthalpy at 0 K, meV per atom: -53
Density, g cm⁻³: 9.466

=====

[6]
Material: Li4HgAs
Method: DFT, GGA-PBE
State: relaxed

abc: 7.469 7.469 7.469
angles: 90.00 90.00 90.00
Space group F-43m (No. 216)
Asymmetric unit:
Li 0.124 0.124 0.124 x16
Hg 0.000 0.000 0.500 x4
As 0.250 0.250 0.750 x4

## Properties
Offset from the most stable computed form, meV/atom: 251
Formation enthalpy at 0 K, meV per atom: -145
Density, g cm⁻³: 4.834

=====

[7]
Material: Li2Hg2As
Method: DFT, GGA-PBE
State: relaxed

abc: 5.659 4.450 8.183
angles: 90.00 90.77 90.00
Space group P2_1/m (No. 11)
Asymmetric unit:
Li 0.004 0.250 0.213 x2
Li 0.308 0.750 0.066 x2
Hg 0.171 0.250 0.544 x2
Hg 0.489 0.250 0.262 x2
As 0.204 0.250 0.889 x2

## Properties
Offset from the most stable computed form, meV/atom: 0
Formation enthalpy at 0 K, meV per atom: -314
Density, g cm⁻³: 7.897

=====

[8]
Material: Li2MgHgAs
Method: DFT, GGA-PBE
State: relaxed

abc: 4.833 4.833 5.152
angles: 90.00 90.00 90.00
Space group P4/mmm (No. 123)
Asymmetric unit:
Li 0.000 0.500 0.000 x2
Mg 0.000 0.000 0.500 x1
Hg 0.500 0.500 0.500 x1
As 0.000 0.000 0.000 x1

## Properties
Formation enthalpy at 0 K, meV per atom: -342
Density, g cm⁻³: 4.329

=====

[9]
Material: LiMgHgAs
Method: DFT, GGA-PBE
State: relaxed

abc: 6.784 6.784 6.784
angles: 90.00 90.00 90.00
Space group F-43m (No. 216)
Asymmetric unit:
Li 0.000 0.000 0.000 x4
Mg 0.000 0.000 0.500 x4
Hg 0.250 0.250 0.750 x4
As 0.250 0.250 0.250 x4

## Properties
Formation enthalpy at 0 K, meV per atom: -397
Density, g cm⁻³: 6.525

=====

[10]
Material: Na2LiHgAs
Method: DFT, GGA-PBE
State: relaxed

abc: 5.602 5.602 4.871
angles: 90.00 90.00 90.00
Space group P4/mmm (No. 123)
Asymmetric unit:
Na 0.000 0.500 0.000 x2
Li 0.000 0.000 0.500 x1
Hg 0.500 0.500 0.500 x1
As 0.000 0.000 0.000 x1

## Properties
Formation enthalpy at 0 K, meV per atom: -335
Density, g cm⁻³: 3.568

=====

[11]
Material: LiHgAs2O6
Method: DFT, GGA-PBE
State: relaxed

abc: 10.756 10.039 5.995
angles: 90.00 114.06 90.00
Space group C2/c (No. 15)
Asymmetric unit:
Li 0.000 0.216 0.250 x4
Hg 0.000 0.122 0.750 x4
As 0.199 0.415 0.701 x8
O 0.123 0.088 0.169 x8
O 0.124 0.264 0.592 x8
O 0.146 0.469 0.944 x8

## Properties
Formation energy without anion corrections, meV/atom: -1096
Density, g cm⁻³: 5.095

=====

[12]
Material: Li2HgAsO4
Method: DFT, GGA-PBE
State: relaxed

abc: 5.238 5.238 7.709
angles: 90.00 90.00 90.00
Space group I-42m (No. 121)
Asymmetric unit:
Li 0.000 0.500 0.250 x4
Hg 0.000 0.000 0.000 x2
As 0.000 0.000 0.500 x2
O 0.187 0.187 0.364 x8

## Properties
Formation energy without anion corrections, meV/atom: -1374
Density, g cm⁻³: 5.550

=====

[13]
Material: Li2Hg2AsO6
Method: DFT, GGA-PBE
State: relaxed

abc: 5.6712 5.6712 14.8876
angles: 90.00 90.00 120.00
Space group R-3m (No. 166, hexagonal axes)
Asymmetric unit:
Li 0.0000 0.0000 0.0920 x6
Hg 0.0000 0.0000 0.2932 x6
As 0.0000 0.0000 0.5000 x3
O 0.0344 0.5172 0.2427 x18

## Properties
Formation energy without anion corrections, meV/atom: -739
Density, g cm⁻³: 7.040

=====

[14]
Material: LiHgAsPb
Method: DFT, GGA-PBE
State: relaxed

abc: 7.295 7.295 7.295
angles: 90.00 90.00 90.00
Space group F-43m (No. 216)
Asymmetric unit:
Li 0.000 0.000 0.000 x4
Hg 0.250 0.250 0.750 x4
As 0.250 0.250 0.250 x4
Pb 0.000 0.000 0.500 x4

## Properties
Formation enthalpy at 0 K, meV per atom: -138
Density, g cm⁻³: 8.379

=====

[15]
Material: Li2HgAsPb
Method: DFT, GGA-PBE
State: relaxed

abc: 4.766 4.766 6.052
angles: 90.00 90.00 90.00
Space group P4/mmm (No. 123)
Asymmetric unit:
Li 0.000 0.500 0.000 x2
Hg 0.000 0.000 0.500 x1
As 0.500 0.500 0.000 x1
Pb 0.500 0.500 0.500 x1

## Properties
Formation enthalpy at 0 K, meV per atom: -194
Density, g cm⁻³: 5.997

=====

[16]
Material: LiPuHgAs
Method: DFT, GGA-PBE
State: relaxed

abc: 7.082 7.082 7.082
angles: 90.00 90.00 90.00
Space group F-43m (No. 216)
Asymmetric unit:
Li 0.000 0.000 0.000 x4
Pu 0.000 0.000 0.500 x4
Hg 0.250 0.250 0.250 x4
As 0.250 0.250 0.750 x4

## Properties
Formation enthalpy at 0 K, meV per atom: -479
Density, g cm⁻³: 9.846

=====

[17]
Material: Rb2LiHgAs2
Method: DFT, GGA-PBE
State: relaxed

abc: 6.566 16.174 6.771
angles: 90.00 90.00 90.00
Space group Ibam (No. 72)
Asymmetric unit:
Rb 0.249 0.170 0.000 x8
Li 0.000 0.000 0.250 x4
Hg 0.000 0.500 0.250 x4
As 0.248 0.092 0.500 x8

## Properties
Formation enthalpy at 0 K, meV per atom: -343
Density, g cm⁻³: 4.880

=====

[18]
Material: RbLi2HgAs
Method: DFT, GGA-PBE
State: relaxed

abc: 5.032 5.032 6.737
angles: 90.00 90.00 90.00
Space group P4/mmm (No. 123)
Asymmetric unit:
Rb 0.000 0.000 0.000 x1
Li 0.000 0.500 0.500 x2
Hg 0.500 0.500 0.000 x1
As 0.000 0.000 0.500 x1

## Properties
Offset from the most stable computed form, meV/atom: 0
Formation enthalpy at 0 K, meV per atom: -325
Density, g cm⁻³: 3.650

=====

[19]
Material: RbLiHg2As
Method: DFT, GGA-PBE
State: relaxed

abc: 5.617 5.617 4.996
angles: 90.00 90.00 90.00
Space group P4/mmm (No. 123)
Asymmetric unit:
Rb 0.000 0.000 0.000 x1
Li 0.500 0.500 0.000 x1
Hg 0.000 0.500 0.500 x2
As 0.500 0.500 0.500 x1

## Properties
Formation enthalpy at 0 K, meV per atom: -198
Density, g cm⁻³: 5.989

=====

[20]
Material: RbLi2HgAs
Method: DFT, GGA-PBE
State: relaxed

abc: 5.025 5.025 5.812
angles: 90.00 90.00 90.00
Space group P4/mmm (No. 123)
Asymmetric unit:
Rb 0.000 0.000 0.000 x1
Li 0.000 0.500 0.500 x2
Hg 0.500 0.500 0.000 x1
As 0.500 0.500 0.500 x1

## Properties
Offset from the most stable computed form, meV/atom: 25
Formation enthalpy at 0 K, meV per atom: -300
Density, g cm⁻³: 4.241

=====

[21]
Material: Li2HgAsS4
Method: DFT, GGA-PBE
State: relaxed

abc: 7.951 8.795 10.277
angles: 90.00 90.00 90.00
Space group Fmm2 (No. 42)
Asymmetric unit:
Li 0.250 0.250 0.000 x8
Hg 0.000 0.000 0.276 x4
As 0.000 0.000 0.745 x4
S 0.000 0.229 0.862 x8
S 0.223 0.000 0.610 x8

## Properties
Formation energy without anion corrections, meV/atom: -519
Density, g cm⁻³: 3.860

=====

[22]
Material: Li2ScHgAs
Method: DFT, GGA-PBE
State: relaxed

abc: 5.236 5.236 5.242
angles: 90.00 90.00 90.00
Space group P4/mmm (No. 123)
Asymmetric unit:
Li 0.000 0.500 0.000 x2
Sc 0.000 0.000 0.000 x1
Hg 0.000 0.000 0.500 x1
As 0.500 0.500 0.500 x1

## Properties
Formation enthalpy at 0 K, meV per atom: 875
Density, g cm⁻³: 3.864

=====

[23]
Material: Li2HgAsSe4
Method: DFT, GGA-PBE
State: relaxed

abc: 10.990 11.352 7.635
angles: 90.00 133.96 90.00
Space group C2/c (No. 15)
Asymmetric unit:
Li 0.000 0.000 0.000 x4
Li 0.250 0.250 0.000 x4
Hg 0.250 0.250 0.500 x4
As 0.000 0.500 0.000 x4
Se 0.001 0.260 0.502 x8
Se 0.243 0.483 0.993 x8

## Properties
Formation energy without anion corrections, meV/atom: -435
Density, g cm⁻³: 5.863

=====

[24]
Material: LiHgAs2Se
Method: DFT, GGA-PBE
State: relaxed

abc: 4.715 4.715 4.749
angles: 90.00 90.00 90.00
Space group P4/mmm (No. 123)
Asymmetric unit:
Li 0.000 0.000 0.000 x1
Hg 0.500 0.500 0.500 x1
As 0.000 0.500 0.000 x2
Se 0.000 0.000 0.500 x1

## Properties
Formation energy without anion corrections, meV/atom: 425
Offset from the most stable computed form, meV/atom: 0
Density, g cm⁻³: 6.862

=====

[25]
Material: LiHg2AsSe4
Method: DFT, GGA-PBE
State: relaxed

abc: 8.593 7.970 6.749
angles: 90.00 90.00 90.00
Space group Pmn2_1 (No. 31)
Asymmetric unit:
Li 0.000 0.156 0.000 x2
Hg 0.240 0.331 0.521 x4
As 0.000 0.825 0.505 x2
Se 0.000 0.161 0.381 x2
Se 0.000 0.835 0.874 x2
Se 0.248 0.337 0.922 x4

## Properties
Formation energy without anion corrections, meV/atom: -308
Density, g cm⁻³: 5.740